{"formula": "Ho3Ir2Rh", "functional": "PBE", "state": "relaxed", "lattice_angstrom": [[-3.0092, 1.7244, -0.6029], [-2.1278, -4.0978, -1.1003], [-0.7985, 1.1842, 7.3722]], "species": ["Ir", "Ir", "Ho", "Ho", "Ho", "Rh"], "frac_coords": [[0.0000, 0.6661, 0.3322], [0.0000, 0.3339, 0.6678], [0.5000, 0.8324, 0.6648], [0.5000, 0.5000, 0.0000], [0.5000, 0.1676, 0.3352], [0.0000, 0.0000, 0.0000]], "magmom_total_mub_per_fu": 0.00, "space_group": "Cmmm", "relative_energy_mev_per_atom": 0.0, "delta_e_f_kj_per_mol_fu": -507, "volume_a3_per_cell": 119.0}